1.
First-principles (PBE-GGA) data for SrPt2Br after structural relaxation, as listed in the Alexandria database.

Structure (CIF):
```
data_SrPt2Br
_chemical_formula_sum 'Sr4 Pt8 Br4'
_space_group_name_H-M_alt 'I -4 2 d'
_space_group_IT_number 122
_space_group_name_Hall 'I -4 2bw'
_cell_length_a 4.1056
_cell_length_b 4.1056
_cell_length_c 23.4506
_cell_angle_alpha 90.00
_cell_angle_beta 90.00
_cell_angle_gamma 90.00
loop_
_atom_site_label
_atom_site_type_symbol
_atom_site_fract_x
_atom_site_fract_y
_atom_site_fract_z
Sr1 Sr 0.0000 0.0000 0.0000
Pt1 Pt 0.1925 0.2500 0.1250
Br1 Br 0.0000 0.0000 0.5000
```

Values from the calculation:
energy above the most stable polymorph in this dataset: 0.312 eV per atom
formation energy without anion corrections: -383 meV/atom

***

2.
First-principles (PBE-GGA) data for Sr2CaTlP after structural relaxation, as listed in the Alexandria database.

Structure (CIF):
```
data_Sr2CaTlP
_chemical_formula_sum 'Sr2 Ca1 Tl1 P1'
_space_group_name_H-M_alt 'P 4/m m m'
_space_group_IT_number 123
_space_group_name_Hall '-P 4 2'
_cell_length_a 6.5405
_cell_length_b 6.5405
_cell_length_c 5.1236
_cell_angle_alpha 90.00
_cell_angle_beta 90.00
_cell_angle_gamma 90.00
loop_
_atom_site_label
_atom_site_type_symbol
_atom_site_fract_x
_atom_site_fract_y
_atom_site_fract_z
Sr1 Sr 0.0000 0.5000 0.0000
Ca1 Ca 0.0000 0.0000 0.0000
Tl1 Tl 0.5000 0.5000 0.5000
P1 P 0.0000 0.0000 0.5000
```

Values from the calculation:
energy above the most stable polymorph in this dataset: 0.894 eV per atom
formation energy: 1.46 eV/f.u.

***

3.
First-principles (PBE-GGA) data for HoEr2PaS4 after structural relaxation, as listed in the Alexandria database.

Structure (CIF):
```
data_HoEr2PaS4
_chemical_formula_sum 'Ho1 Er2 Pa1 S4'
_space_group_name_H-M_alt 'P 1 2/m 1'
_space_group_IT_number 10
_cell_length_a 6.7237
_cell_length_b 3.8410
_cell_length_c 6.7362
_cell_angle_alpha 90.00
_cell_angle_beta 108.95
_cell_angle_gamma 90.00
loop_
_space_group_symop_operation_xyz
'x,y,z'
'-x,-y,-z'
'-x,y,-z'
'x,-y,z'
loop_
_atom_site_label
_atom_site_type_symbol
_atom_site_fract_x
_atom_site_fract_y
_atom_site_fract_z
Ho1 Ho 0.0000 0.0000 0.0000
Er1 Er 0.0000 0.5000 0.5000
Er2 Er 0.5000 0.0000 0.5000
Pa1 Pa 0.5000 0.5000 0.0000
S1 S 0.2457 0.0000 0.7444
S2 S 0.2494 0.5000 0.2532
```

Values from the calculation:
formation energy without anion corrections: -1855 meV/atom

***

4.
First-principles (PBE-GGA) data for Y2Ga13 after structural relaxation, as listed in the Alexandria database.

Structure (CIF):
```
data_Y2Ga13
_chemical_formula_sum 'Y6 Ga39'
_space_group_name_H-M_alt 'R -3 m'
_space_group_IT_number 166
_space_group_name_Hall '-R 3 2"'
_cell_length_a 7.2764
_cell_length_b 7.2764
_cell_length_c 21.3885
_cell_angle_alpha 90.00
_cell_angle_beta 90.00
_cell_angle_gamma 120.00
loop_
_atom_site_label
_atom_site_type_symbol
_atom_site_fract_x
_atom_site_fract_y
_atom_site_fract_z
Y1 Y 0.0000 0.0000 0.2352
Ga1 Ga 0.0000 0.0000 0.0000
Ga2 Ga 0.0613 0.5307 0.7896
Ga3 Ga 0.0989 0.5495 0.0498
```

Values from the calculation:
formation energy: -1.98 eV/f.u.

***

5.
First-principles (PBE-GGA) data for Cs3Rb3CaBr8 after structural relaxation, as listed in the Alexandria database.

Structure (CIF):
```
data_Cs3Rb3CaBr8
_chemical_formula_sum 'Cs9 Rb9 Ca3 Br24'
_space_group_name_H-M_alt 'R -3 m'
_space_group_IT_number 166
_space_group_name_Hall '-R 3 2"'
_cell_length_a 9.9372
_cell_length_b 9.9372
_cell_length_c 25.0677
_cell_angle_alpha 90.00
_cell_angle_beta 90.00
_cell_angle_gamma 120.00
loop_
_atom_site_label
_atom_site_type_symbol
_atom_site_fract_x
_atom_site_fract_y
_atom_site_fract_z
Cs1 Cs 0.0000 0.5000 0.0000
Rb1 Rb 0.0000 0.5000 0.5000
Ca1 Ca 0.0000 0.0000 0.5000
Br1 Br 0.0000 0.0000 0.2448
Br2 Br 0.0498 0.5249 0.2339
```

Values from the calculation:
formation energy without anion corrections: -1831 meV/atom

***

6.
First-principles (PBE-GGA) data for TiNbPd2W after structural relaxation, as listed in the Alexandria database.

Structure (CIF):
```
data_TiNbPd2W
_chemical_formula_sum 'Ti1 Nb1 Pd2 W1'
_space_group_name_H-M_alt 'P 4/m m m'
_space_group_IT_number 123
_space_group_name_Hall '-P 4 2'
_cell_length_a 4.7367
_cell_length_b 4.7367
_cell_length_c 4.6203
_cell_angle_alpha 90.00
_cell_angle_beta 90.00
_cell_angle_gamma 90.00
loop_
_atom_site_label
_atom_site_type_symbol
_atom_site_fract_x
_atom_site_fract_y
_atom_site_fract_z
Ti1 Ti 0.0000 0.0000 0.0000
Nb1 Nb 0.0000 0.0000 0.5000
Pd1 Pd 0.0000 0.5000 0.5000
W1 W 0.5000 0.5000 0.0000
```

Values from the calculation:
formation energy: 7.77 eV/f.u.

***

7.
First-principles (PBE-GGA) data for Ca5Cd2AgRh2 after structural relaxation, as listed in the Alexandria database.

Structure (CIF):
```
data_Ca5Cd2AgRh2
_chemical_formula_sum 'Ca10 Cd4 Ag2 Rh4'
_space_group_name_H-M_alt 'P 4/m b m'
_space_group_IT_number 127
_space_group_name_Hall '-P 4 2ab'
_cell_length_a 11.6337
_cell_length_b 11.6337
_cell_length_c 3.8644
_cell_angle_alpha 90.00
_cell_angle_beta 90.00
_cell_angle_gamma 90.00
loop_
_atom_site_label
_atom_site_type_symbol
_atom_site_fract_x
_atom_site_fract_y
_atom_site_fract_z
Ca1 Ca 0.0000 0.5000 0.0000
Ca2 Ca 0.0693 0.2071 0.0000
Cd1 Cd 0.1806 0.6806 0.5000
Ag1 Ag 0.0000 0.0000 0.5000
Rh1 Rh 0.1374 0.3626 0.5000
```

Values from the calculation:
formation energy: -2.82 eV/f.u.

***

8.
First-principles (PBE-GGA) data for TbGdCoNi after structural relaxation, as listed in the Alexandria database.

Structure (CIF):
```
data_TbGdCoNi
_chemical_formula_sum 'Tb4 Gd4 Co4 Ni4'
_space_group_name_H-M_alt 'F -4 3 m'
_space_group_IT_number 216
_space_group_name_Hall 'F -4 2 3'
_cell_length_a 6.7599
_cell_length_b 6.7599
_cell_length_c 6.7599
_cell_angle_alpha 90.00
_cell_angle_beta 90.00
_cell_angle_gamma 90.00
loop_
_atom_site_label
_atom_site_type_symbol
_atom_site_fract_x
_atom_site_fract_y
_atom_site_fract_z
Tb1 Tb 0.0000 0.0000 0.0000
Gd1 Gd 0.0000 0.0000 0.5000
Co1 Co 0.2500 0.2500 0.2500
Ni1 Ni 0.2500 0.2500 0.7500
```

Values from the calculation:
formation energy: -0.90 eV/f.u.

***

9.
First-principles (PBE-GGA) data for CaNdPd after structural relaxation, as listed in the Alexandria database.

Structure (CIF):
```
data_CaNdPd
_chemical_formula_sum 'Ca1 Nd1 Pd1'
_space_group_name_H-M_alt 'P 3 m 1'
_space_group_IT_number 156
_cell_length_a 4.1076
_cell_length_b 4.1076
_cell_length_c 6.7242
_cell_angle_alpha 90.00
_cell_angle_beta 90.00
_cell_angle_gamma 120.00
loop_
_space_group_symop_operation_xyz
'x,y,z'
'-y,x-y,z'
'-x+y,-x,z'
'-y,-x,z'
'-x+y,y,z'
'x,x-y,z'
loop_
_atom_site_label
_atom_site_type_symbol
_atom_site_fract_x
_atom_site_fract_y
_atom_site_fract_z
Ca1 Ca 0.0000 0.0000 0.0000
Nd1 Nd 0.6667 0.3333 0.5063
Pd1 Pd 0.3333 0.6667 0.7438
```

Values from the calculation:
energy above the most stable polymorph in this dataset: 0.118 eV per atom
formation energy: -1.19 eV/f.u.

***

10.
First-principles (PBE-GGA) data for NaIrRu after structural relaxation, as listed in the Alexandria database.

Structure (CIF):
```
data_NaIrRu
_chemical_formula_sum 'Na2 Ir2 Ru2'
_space_group_name_H-M_alt 'P -1'
_space_group_IT_number 2
_cell_length_a 4.5871
_cell_length_b 5.1122
_cell_length_c 5.9704
_cell_angle_alpha 97.10
_cell_angle_beta 110.31
_cell_angle_gamma 112.79
loop_
_space_group_symop_operation_xyz
'x,y,z'
'-x,-y,-z'
loop_
_atom_site_label
_atom_site_type_symbol
_atom_site_fract_x
_atom_site_fract_y
_atom_site_fract_z
Na1 Na 0.1109 0.2852 0.4632
Ir1 Ir 0.2686 0.7378 0.1213
Ru1 Ru 0.2953 0.2180 0.0324
```

Values from the calculation:
energy above the most stable polymorph in this dataset: 0.155 eV per atom
formation energy: 1.47 eV/f.u.

***

11.
First-principles (PBE-GGA) data for EuInNi after structural relaxation, as listed in the Alexandria database.

Structure (CIF):
```
data_EuInNi
_chemical_formula_sum 'Eu2 In2 Ni2'
_space_group_name_H-M_alt 'I 4 m m'
_space_group_IT_number 107
_space_group_name_Hall 'I 4 -2'
_cell_length_a 3.3921
_cell_length_b 3.3921
_cell_length_c 11.4804
_cell_angle_alpha 90.00
_cell_angle_beta 90.00
_cell_angle_gamma 90.00
loop_
_atom_site_label
_atom_site_type_symbol
_atom_site_fract_x
_atom_site_fract_y
_atom_site_fract_z
Eu1 Eu 0.0000 0.0000 0.0000
In1 In 0.0000 0.0000 0.2835
Ni1 Ni 0.0000 0.0000 0.6731
```

Values from the calculation:
formation energy: -0.57 eV/f.u.

***

12.
First-principles (PBE-GGA) data for ErBiI after structural relaxation, as listed in the Alexandria database.

Structure (CIF):
```
data_ErBiI
_chemical_formula_sum 'Er1 Bi1 I1'
_space_group_name_H-M_alt 'P -6 m 2'
_space_group_IT_number 187
_space_group_name_Hall 'P -6 2'
_cell_length_a 5.3292
_cell_length_b 5.3292
_cell_length_c 3.7264
_cell_angle_alpha 90.00
_cell_angle_beta 90.00
_cell_angle_gamma 120.00
loop_
_atom_site_label
_atom_site_type_symbol
_atom_site_fract_x
_atom_site_fract_y
_atom_site_fract_z
Er1 Er 0.0000 0.0000 0.0000
Bi1 Bi 0.6667 0.3333 0.5000
I1 I 0.3333 0.6667 0.0000
```

Values from the calculation:
energy above the most stable polymorph in this dataset: 0.197 eV per atom
formation energy without anion corrections: -517 meV/atom

***

Number 1: size of the total moment 0.0 μB/cell. Number 2: size of the total moment 0.8 μB/cell. Number 3: size of the total moment 0.0 μB/cell. Number 4: size of the total moment 0.0 μB/cell. Number 5: size of the total moment 0.0 μB/cell. Number 6: size of the total moment 1.3 μB/cell. Number 7: size of the total moment 0.0 μB/cell. Number 8: size of the total moment 27.5 μB/cell. Number 9: size of the total moment 0.0 μB/cell. Number 10: size of the total moment 0.0 μB/cell. Number 11: size of the total moment 14.1 μB/cell. Number 12: size of the total moment 0.0 μB/cell.